Tm2ScAu: optimized geometry, PBE.

Cell: 3.5057 3.5057 10.7029 Å, 80.57 80.57 60.00°
Site moments in Bohr magnetons follow the coordinates.
Fractional positions:
Sc1 0.0000 0.0000 0.0000  0.36
Tm1 0.8997 0.8997 0.3008  0.01
Tm2 0.1003 0.1003 0.6992  0.01
Au1 0.5000 0.5000 0.5000  0.00

Calculated values
Formation enthalpy at 0 K in meV/atom: -4
Volume in Å³ per cell: 111.86
ΔE to the lowest computed polymorph in meV/atom: 428.2
Crystal system: trigonal


KZnAsBr2: optimized geometry, PBE.

Cell: 5.6603 5.6603 4.8687 Å, 90.00 90.00 90.00°
Site moments in Bohr magnetons follow the coordinates.
Fractional positions:
Br1 0.0000 0.5000 0.0000  0.10
Br2 0.5000 0.0000 0.0000  0.10
As1 0.0000 0.0000 0.5000  0.77
Zn1 0.0000 0.0000 0.0000  0.01
K1 0.5000 0.5000 0.5000  0.01

Calculated values
Volume in Å³ per cell: 155.99
ΔE to the lowest computed polymorph in meV/atom: 0.0
Crystal system: tetragonal
Formation energy without anion corrections in eV/atom: -0.511


Ac4Tl3Hg: optimized geometry, PBE.

Cell: 5.7933 5.7931 9.2865 Å, 108.21 108.18 90.00°
Fractional positions:
Ac1 0.3767 0.3766 0.7534
Ac2 0.1233 0.1234 0.2466
Ac3 0.6233 0.6234 0.2466
Ac4 0.8767 0.8766 0.7534
Hg1 0.5000 0.0000 0.0000
Tl1 0.0000 0.5000 0.0000
Tl2 0.7487 0.2488 0.4974
Tl3 0.2513 0.7512 0.5026

Calculated values
Formation enthalpy at 0 K in meV/atom: -376
Volume in Å³ per cell: 279.64
ΔE to the lowest computed polymorph in meV/atom: 0.0
Crystal system: tetragonal


ScTl2V: optimized geometry, PBE.

Cell: 4.3997 4.3997 10.7678 Å, 78.21 78.21 90.00°
Site moments in Bohr magnetons follow the coordinates.
Fractional positions:
Tl1 0.1171 0.6250 0.2500  -0.01
Tl2 0.3750 0.3671 0.7500  -0.01
Tl3 0.8750 0.8829 0.7500  -0.01
Tl4 0.6329 0.1250 0.2500  -0.01
Sc1 0.2500 0.7500 0.5000  0.21
Sc2 0.5000 0.5000 0.0000  0.21
V1 0.7500 0.2500 0.5000  2.62
V2 0.0000 0.0000 0.0000  2.62

Calculated values
Formation enthalpy at 0 K in meV/atom: 511
Volume in Å³ per cell: 199.55
Crystal system: tetragonal


LaTmCoAg: optimized geometry, PBE.

Cell: 5.0488 5.0488 5.0488 Å, 60.00 60.00 60.00°
Site moments in Bohr magnetons follow the coordinates.
Fractional positions:
Ag1 0.2500 0.2500 0.2500  0.00
Co1 0.7500 0.7500 0.7500  0.84
Tm1 0.5000 0.5000 0.5000  -0.14
La1 0.0000 0.0000 0.0000  -0.06

Calculated values
Formation enthalpy at 0 K in meV/atom: -111
Volume in Å³ per cell: 91.00
Crystal system: cubic


BaPb3N: optimized geometry, PBE.

Cell: 6.3765 6.3765 6.3765 Å, 90.00 90.00 90.00°
Fractional positions:
Pb1 0.0000 0.0000 0.5000
Pb2 0.5000 0.0000 0.0000
Pb3 0.0000 0.5000 0.0000
N1 0.5000 0.5000 0.5000
Ba1 0.0000 0.0000 0.0000

Calculated values
Volume in Å³ per cell: 259.26
ΔE to the lowest computed polymorph in meV/atom: 1846.8
Crystal system: cubic
Formation energy without anion corrections in eV/atom: 2.122


ErPaFe4: optimized geometry, PBE.

Cell: 5.0856 5.0856 5.0856 Å, 60.00 60.00 60.00°
Site moments in Bohr magnetons follow the coordinates.
Fractional positions:
Er1 0.0000 0.0000 0.0000  -0.46
Fe1 0.6246 0.6246 0.6246  1.87
Fe2 0.6246 0.1261 0.6246  1.87
Fe3 0.1261 0.6246 0.6246  1.87
Fe4 0.6246 0.6246 0.1261  1.87
Pa1 0.2500 0.2500 0.2500  -0.86

Calculated values
Formation enthalpy at 0 K in meV/atom: -115
Volume in Å³ per cell: 93.00
Crystal system: cubic


TmU4S7: optimized geometry, PBE.

Cell: 4.7469 4.7469 11.9138 Å, 90.00 90.00 120.00°
Site moments in Bohr magnetons follow the coordinates.
Fractional positions:
S1 0.6667 0.3333 0.8597  -0.02
S2 0.0000 0.0000 0.2768  0.04
S3 0.3333 0.6667 0.1403  -0.02
S4 0.6667 0.3333 0.5554  0.04
S5 0.0000 0.0000 0.7232  0.04
S6 0.0000 0.0000 0.0000  -0.04
S7 0.3333 0.6667 0.4446  0.04
U1 0.3333 0.6667 0.6923  -1.83
U2 0.3333 0.6667 0.9100  0.69
U3 0.6667 0.3333 0.3077  -1.83
U4 0.6667 0.3333 0.0900  0.69
Tm1 0.0000 0.0000 0.5000  -0.21

Calculated values
Volume in Å³ per cell: 232.49
Crystal system: trigonal
Formation energy without anion corrections in eV/atom: -1.132